# GGA-PBEsol LuCrB4, optimized geometry
data_LuCrB4
_chemical_formula_sum 'Lu4 Cr4 B16'
_space_group_name_H-M_alt 'P 1'
_space_group_IT_number 1
_space_group_name_Hall 'P 1'
_cell_length_a 3.3391
_cell_length_b 5.8340
_cell_length_c 11.2667
_cell_angle_alpha 90.00
_cell_angle_beta 90.00
_cell_angle_gamma 90.00
loop_
_atom_site_label
_atom_site_type_symbol
_atom_site_fract_x
_atom_site_fract_y
_atom_site_fract_z
Lu1 Lu 0.0000 0.6255 0.3496
Lu2 Lu 0.0000 0.3745 0.6504
Lu3 Lu 0.0000 0.1255 0.1504
Lu4 Lu 0.0000 0.8745 0.8496
Cr1 Cr 0.0000 0.6234 0.0800
Cr2 Cr 0.0000 0.3766 0.9200
Cr3 Cr 0.0000 0.1234 0.4200
Cr4 Cr 0.0000 0.8766 0.5800
B1 B 0.5000 0.7828 0.1848
B2 B 0.5000 0.2172 0.8152
B3 B 0.5000 0.2828 0.3152
B4 B 0.5000 0.7172 0.6848
B5 B 0.5000 0.8647 0.0326
B6 B 0.5000 0.1353 0.9674
B7 B 0.5000 0.3647 0.4674
B8 B 0.5000 0.6353 0.5326
B9 B 0.5000 0.8859 0.4525
B10 B 0.5000 0.1141 0.5475
B11 B 0.5000 0.3859 0.0475
B12 B 0.5000 0.6141 0.9525
B13 B 0.5000 0.9758 0.3070
B14 B 0.5000 0.0242 0.6930
B15 B 0.5000 0.4758 0.1930
B16 B 0.5000 0.5242 0.8070
# Formation energy from the elements   -445 kJ/mol of formula units
# VASP energy   -7.96 eV/atom
# Magnetization   0.000 μB/cell